DFT (PBE-GGA) results for a geometry-optimized Hf2N structure.

Values from the calculation:
As for the magnetic moment: 0.00 μB/f.u. Its total energy is -63.97 eV/cell.

Geometry as CIF:
```
data_Hf2N
_symmetry_space_group_name_H-M 'P 42/m n m'
_symmetry_Int_Tables_number 136
_symmetry_space_group_name_Hall '-P 4n 2n'
_cell_length_a 5.3325
_cell_length_b 5.3325
_cell_length_c 3.2504
_cell_angle_alpha 90.00
_cell_angle_beta 90.00
_cell_angle_gamma 90.00
loop_
_atom_site_label
_atom_site_fract_x
_atom_site_fract_y
_atom_site_fract_z
Hf1 0.2045 0.2045 0.0000
N1 0.0000 0.0000 0.5000
```